(1)
Material: LiCaGa4Pd2
Method: DFT, GGA-PBE
State: optimized geometry

Properties
The energy of formation from the pure elements is -0.5489 eV/atom. The value obtained for the magnetization is 0.000 Bohr magnetons per cell. The density of states at the Fermi level is 0.585 states/eV per atom.

Cell lengths 4.3234, 4.3234, 26.5189 Å; angles 90.00, 90.00, 120.00 degrees
Space group R-3m (No. 166, hexagonal axes)
Symmetry-distinct sites (fractional):
Li (0.0000, 0.0000, 0.0000) (multiplicity 3)
Ca (0.0000, 0.0000, 0.5000) (multiplicity 3)
Ga (0.0000, 0.0000, 0.0980) (multiplicity 6)
Ga (0.0000, 0.0000, 0.3706) (multiplicity 6)
Pd (0.0000, 0.0000, 0.2683) (multiplicity 6)

***

(2)
Material: SiCl
Method: DFT, GGA-PBE
State: optimized geometry

Properties
The value obtained for the magnetization is 0.000 Bohr magnetons per cell. The formation energy (no corrections) is 0.12 eV/atom. The density of states at the Fermi level is 0.834 states/eV per atom.

Cell lengths 3.2794, 3.2794, 27.3992 Å; angles 90.00, 90.00, 120.00 degrees
Space group R-3m (No. 166, hexagonal axes)
Symmetry-distinct sites (fractional):
Si (0.0000, 0.0000, 0.1331) (multiplicity 6)
Cl (0.0000, 0.0000, 0.4009) (multiplicity 6)